Below is a relaxed structure of Y4TePdSe2, with properties calculated at the GGA-PBE level.

Cell lengths 4.093, 7.321, 7.252 Å; angles 71.37, 90.00, 90.00 degrees
Positions (direct):
Te  0.500  0.500  0.000
Y  0.000  0.236  0.267
Y  0.000  0.764  0.733
Y  0.500  0.254  0.732
Y  0.500  0.746  0.268
Se  0.000  0.000  0.000
Se  0.500  0.000  0.500
Pd  0.000  0.500  0.500

Output
Space group: P2/m (10)
VASP energy (eV/atom): -6.541
M_tot (μB per cell): 0.00